Entry 1:
A relaxed structure of HfTcF3, computed with PBE-GGA.

Output
Size of the total moment   3.32 μB per formula unit
Symmetry   Pm-3m, No. 221
V   15.603 Å³/atom
E_form (uncorrected)   -1.295 eV/atom
Energy above the lowest structure with this stoichiometry   0 meV/atom

Cell: 4.2730 4.2730 4.2730 Å, 90.00 90.00 90.00°
With the nearest neighbours (Å) after each atom.
Fractional positions:
Hf: 0.0000 0.0000 0.0000  6 F 2.14
Tc: 0.5000 0.5000 0.5000  12 F 3.02
F: 0.0000 0.0000 0.5000  2 Hf 2.14
F: 0.0000 0.5000 0.0000  2 Hf 2.14
F: 0.5000 0.0000 0.0000  2 Hf 2.14

---

Entry 2:
A relaxed structure of HfTc3F, computed with PBE-GGA.

Output
Size of the total moment   0.00 μB per formula unit
Symmetry   Pm-3m, No. 221
V   15.084 Å³/atom
E_form (uncorrected)   0.452 eV/atom
Energy above the lowest structure with this stoichiometry   0 meV/atom

Cell: 4.2251 4.2251 4.2251 Å, 90.00 90.00 90.00°
With the nearest neighbours (Å) after each atom.
Fractional positions:
Hf: 0.0000 0.0000 0.0000  12 Tc 2.99
Tc: 0.0000 0.5000 0.5000  2 F 2.11
Tc: 0.5000 0.0000 0.5000  2 F 2.11
Tc: 0.5000 0.5000 0.0000  2 F 2.11
F: 0.5000 0.5000 0.5000  6 Tc 2.11